No. 1
{"formula": "ZnAsPb", "functional": "PBEsol", "state": "relaxed", "lattice_angstrom": [[6.7811, 0.0000, 0.0000], [0.0000, 6.7811, 0.0000], [0.0000, 0.0000, 6.7811]], "species": ["Zn", "Zn", "Zn", "Zn", "As", "As", "As", "As", "Pb", "Pb", "Pb", "Pb"], "fractional_positions": [[0.0000, 0.0000, 0.0000], [0.0000, 0.5000, 0.5000], [0.5000, 0.0000, 0.5000], [0.5000, 0.5000, 0.0000], [0.0000, 0.0000, 0.5000], [0.0000, 0.5000, 0.0000], [0.5000, 0.0000, 0.0000], [0.5000, 0.5000, 0.5000], [0.2500, 0.2500, 0.2500], [0.2500, 0.7500, 0.7500], [0.7500, 0.2500, 0.7500], [0.7500, 0.7500, 0.2500]], "crystal_system": "cubic", "relative_energy_ev_per_atom": 0.403, "formation_enthalpy_0k_ev_per_atom": 0.41}

***

No. 2
{"formula": "Zn4AsPb", "functional": "PBEsol", "state": "relaxed", "lattice_angstrom": [[0.0000, 3.7650, 3.7650], [3.7650, 0.0000, 3.7650], [3.7650, 3.7650, 0.0000]], "species": ["Zn", "Zn", "Zn", "Zn", "As", "Pb"], "fractional_positions": [[0.1252, 0.1252, 0.1252], [0.1252, 0.1252, 0.6244], [0.1252, 0.6244, 0.1252], [0.6244, 0.1252, 0.1252], [0.5000, 0.5000, 0.5000], [0.7500, 0.7500, 0.7500]], "crystal_system": "cubic", "formation_enthalpy_0k_ev_per_atom": 0.19}

***

No. 3
{"formula": "Zn2AsPb2", "functional": "PBEsol", "state": "relaxed", "lattice_angstrom": [[3.6644, 0.0000, 0.0000], [0.0000, 3.6644, 0.0000], [0.0000, 0.0000, 16.8979]], "species": ["Zn", "Zn", "Zn", "Zn", "As", "As", "Pb", "Pb", "Pb", "Pb"], "fractional_positions": [[0.0000, 0.5000, 0.2500], [0.0000, 0.5000, 0.7500], [0.5000, 0.0000, 0.2500], [0.5000, 0.0000, 0.7500], [0.0000, 0.0000, 0.0000], [0.5000, 0.5000, 0.5000], [0.0000, 0.0000, 0.4007], [0.0000, 0.0000, 0.5993], [0.5000, 0.5000, 0.0993], [0.5000, 0.5000, 0.9007]], "crystal_system": "tetragonal", "formation_enthalpy_0k_ev_per_atom": 0.18}

***

No. 4
{"formula": "ZrAsPb2", "functional": "PBEsol", "state": "relaxed", "lattice_angstrom": [[4.0473, 0.0000, 0.0000], [0.0000, 5.2381, 0.0000], [0.0000, 0.0000, 8.9020]], "species": ["Zr", "Zr", "As", "As", "Pb", "Pb", "Pb", "Pb"], "fractional_positions": [[0.0000, 0.0000, 0.0000], [0.5000, 0.5000, 0.0000], [0.0000, 0.0000, 0.5000], [0.5000, 0.5000, 0.5000], [0.0000, 0.5000, 0.2533], [0.0000, 0.5000, 0.7467], [0.5000, 0.0000, 0.2533], [0.5000, 0.0000, 0.7467]], "crystal_system": "orthorhombic", "formation_enthalpy_0k_ev_per_atom": 0.15}

***

No. 5
{"formula": "ZrAsPb", "functional": "PBEsol", "state": "relaxed", "lattice_angstrom": [[6.6541, 0.0000, 0.0000], [0.0000, 6.6541, 0.0000], [0.0000, 0.0000, 6.6541]], "species": ["Zr", "Zr", "Zr", "Zr", "As", "As", "As", "As", "Pb", "Pb", "Pb", "Pb"], "fractional_positions": [[0.0000, 0.0000, 0.0000], [0.0000, 0.5000, 0.5000], [0.5000, 0.0000, 0.5000], [0.5000, 0.5000, 0.0000], [0.2500, 0.2500, 0.2500], [0.2500, 0.7500, 0.7500], [0.7500, 0.2500, 0.7500], [0.7500, 0.7500, 0.2500], [0.0000, 0.0000, 0.5000], [0.0000, 0.5000, 0.0000], [0.5000, 0.0000, 0.0000], [0.5000, 0.5000, 0.5000]], "crystal_system": "cubic", "relative_energy_ev_per_atom": 0.252, "formation_enthalpy_0k_ev_per_atom": 0.00}

***

No. 6
{"formula": "ZrAsPb", "functional": "PBEsol", "state": "relaxed", "lattice_angstrom": [[4.5510, 0.0000, 0.0000], [-2.2755, 3.9413, 0.0000], [0.0000, 0.0000, 3.9201]], "species": ["Zr", "As", "Pb"], "fractional_positions": [[0.0000, 0.0000, 0.0000], [0.6667, 0.3333, 0.0000], [0.3333, 0.6667, 0.5000]], "crystal_system": "hexagonal", "relative_energy_ev_per_atom": 0.000, "formation_enthalpy_0k_ev_per_atom": -0.25}

***

No. 7
{"formula": "Zr3AsPb", "functional": "PBEsol", "state": "relaxed", "lattice_angstrom": [[5.2757, 0.0000, 0.0000], [0.0000, 5.2757, 0.0000], [0.0000, 0.0000, 5.2757]], "species": ["Zr", "Zr", "Zr", "As", "Pb"], "fractional_positions": [[0.0000, 0.0000, 0.5000], [0.0000, 0.5000, 0.0000], [0.5000, 0.0000, 0.0000], [0.5000, 0.5000, 0.5000], [0.0000, 0.0000, 0.0000]], "crystal_system": "cubic", "relative_energy_ev_per_atom": 1.270, "formation_enthalpy_0k_ev_per_atom": 1.19}

***

No. 8
{"formula": "Zr3AsPb", "functional": "PBEsol", "state": "relaxed", "lattice_angstrom": [[4.9690, 0.0000, 0.0000], [0.0000, 4.9690, 0.0000], [0.0000, 0.0000, 4.9690]], "species": ["Zr", "Zr", "Zr", "As", "Pb"], "fractional_positions": [[0.0000, 0.0000, 0.5000], [0.0000, 0.5000, 0.0000], [0.5000, 0.0000, 0.0000], [0.0000, 0.0000, 0.0000], [0.5000, 0.5000, 0.5000]], "crystal_system": "cubic", "relative_energy_ev_per_atom": 0.000, "formation_enthalpy_0k_ev_per_atom": -0.08}

***

No. 9
{"formula": "AsPd5", "functional": "PBEsol", "state": "relaxed", "lattice_angstrom": [[2.7567, -3.8321, 0.0000], [2.7567, 3.8321, 0.0000], [-1.1915, 0.0000, 8.3315]], "species": ["As", "As", "Pd", "Pd", "Pd", "Pd", "Pd", "Pd", "Pd", "Pd", "Pd", "Pd"], "fractional_positions": [[0.2292, 0.2292, 0.2109], [0.7708, 0.7708, 0.7891], [0.1861, 0.8139, 0.0000], [0.2048, 0.7265, 0.3263], [0.2572, 0.2572, 0.5075], [0.2735, 0.7952, 0.6737], [0.3500, 0.3500, 0.8528], [0.6500, 0.6500, 0.1472], [0.7265, 0.2048, 0.3263], [0.7428, 0.7428, 0.4925], [0.7952, 0.2735, 0.6737], [0.8139, 0.1861, 0.0000]], "crystal_system": "monoclinic", "formation_enthalpy_0k_ev_per_atom": -0.29}

***

No. 10
{"formula": "AsPd2", "functional": "PBEsol", "state": "relaxed", "lattice_angstrom": [[1.6091, -8.4911, 0.0000], [1.6091, 8.4911, 0.0000], [0.0000, 0.0000, 6.6225]], "species": ["As", "As", "As", "As", "Pd", "Pd", "Pd", "Pd", "Pd", "Pd", "Pd", "Pd"], "fractional_positions": [[0.0585, 0.9415, 0.5000], [0.2940, 0.7060, 0.4697], [0.7060, 0.2940, 0.9697], [0.9415, 0.0585, 0.0000], [0.0862, 0.9138, 0.8698], [0.1711, 0.8289, 0.2426], [0.3247, 0.6753, 0.0964], [0.4643, 0.5357, 0.7000], [0.5357, 0.4643, 0.2000], [0.6753, 0.3247, 0.5964], [0.8289, 0.1711, 0.7426], [0.9138, 0.0862, 0.3698]], "crystal_system": "orthorhombic", "formation_enthalpy_0k_ev_per_atom": -0.41}

***

No. 11
{"formula": "AsPd3", "functional": "PBEsol", "state": "relaxed", "lattice_angstrom": [[-4.9754, 4.9754, 2.4091], [4.9754, -4.9754, 2.4091], [4.9754, 4.9754, -2.4091]], "species": ["As", "As", "As", "As", "Pd", "Pd", "Pd", "Pd", "Pd", "Pd", "Pd", "Pd", "Pd", "Pd", "Pd", "Pd"], "fractional_positions": [[0.0229, 0.6957, 0.7616], [0.3043, 0.0659, 0.3272], [0.7387, 0.9771, 0.6728], [0.9341, 0.2613, 0.2384], [0.0361, 0.4295, 0.9528], [0.1579, 0.4912, 0.6031], [0.1857, 0.1496, 0.8122], [0.3374, 0.3736, 0.1878], [0.4452, 0.8421, 0.3332], [0.4767, 0.0833, 0.0472], [0.5088, 0.1119, 0.6668], [0.5705, 0.5233, 0.6066], [0.6264, 0.8143, 0.9639], [0.8504, 0.6626, 0.0361], [0.8881, 0.5548, 0.3969], [0.9167, 0.9639, 0.3934]], "crystal_system": "tetragonal", "formation_enthalpy_0k_ev_per_atom": -0.38}

***

No. 12
{"formula": "AsPd2", "functional": "PBEsol", "state": "relaxed", "lattice_angstrom": [[6.6459, 0.0000, 0.0000], [-3.3230, 5.7556, 0.0000], [0.0000, 0.0000, 3.5820]], "species": ["As", "As", "As", "Pd", "Pd", "Pd", "Pd", "Pd", "Pd"], "fractional_positions": [[0.0000, 0.0000, 0.0000], [0.3333, 0.6667, 0.5000], [0.6667, 0.3333, 0.5000], [0.0000, 0.2664, 0.5000], [0.0000, 0.6078, 0.0000], [0.2664, 0.0000, 0.5000], [0.3922, 0.3922, 0.0000], [0.6078, 0.0000, 0.0000], [0.7336, 0.7336, 0.5000]], "crystal_system": "hexagonal", "formation_enthalpy_0k_ev_per_atom": -0.38}

***

No. 13
{"formula": "As2Pd", "functional": "PBEsol", "state": "relaxed", "lattice_angstrom": [[5.9843, 0.0000, 0.0000], [0.0000, 5.9843, 0.0000], [0.0000, 0.0000, 5.9843]], "species": ["As", "As", "As", "As", "As", "As", "As", "As", "Pd", "Pd", "Pd", "Pd"], "fractional_positions": [[0.1176, 0.1176, 0.1176], [0.1176, 0.3824, 0.6176], [0.3824, 0.6176, 0.1176], [0.3824, 0.8824, 0.6176], [0.6176, 0.1176, 0.3824], [0.6176, 0.3824, 0.8824], [0.8824, 0.6176, 0.3824], [0.8824, 0.8824, 0.8824], [0.0000, 0.0000, 0.5000], [0.0000, 0.5000, 0.0000], [0.5000, 0.0000, 0.0000], [0.5000, 0.5000, 0.5000]], "crystal_system": "cubic", "formation_enthalpy_0k_ev_per_atom": -0.36}

***

No. 14
{"formula": "AsPdPt2", "functional": "PBEsol", "state": "relaxed", "lattice_angstrom": [[7.0395, 0.0000, 0.0000], [0.0000, 7.0395, 0.0000], [0.0000, 0.0000, 5.1770]], "species": ["As", "As", "As", "As", "Pd", "Pd", "Pd", "Pd", "Pt", "Pt", "Pt", "Pt", "Pt", "Pt", "Pt", "Pt"], "fractional_positions": [[0.0000, 0.0000, 0.0000], [0.0000, 0.5000, 0.2500], [0.5000, 0.0000, 0.7500], [0.5000, 0.5000, 0.5000], [0.0000, 0.0000, 0.5000], [0.0000, 0.5000, 0.7500], [0.5000, 0.0000, 0.2500], [0.5000, 0.5000, 0.0000], [0.2169, 0.2500, 0.1250], [0.2500, 0.7169, 0.3750], [0.2500, 0.7831, 0.8750], [0.2831, 0.2500, 0.6250], [0.7169, 0.7500, 0.6250], [0.7500, 0.2169, 0.8750], [0.7500, 0.2831, 0.3750], [0.7831, 0.7500, 0.1250]], "crystal_system": "tetragonal", "formation_enthalpy_0k_ev_per_atom": -0.15}

***

No. 15
{"formula": "AsPd3Pt", "functional": "PBEsol", "state": "relaxed", "lattice_angstrom": [[4.4960, 0.0000, 0.0000], [0.0000, 4.4960, 0.0000], [0.0000, 0.0000, 4.4960]], "species": ["As", "Pd", "Pd", "Pd", "Pt"], "fractional_positions": [[0.0000, 0.0000, 0.0000], [0.0000, 0.0000, 0.5000], [0.0000, 0.5000, 0.0000], [0.5000, 0.0000, 0.0000], [0.5000, 0.5000, 0.5000]], "crystal_system": "cubic", "formation_enthalpy_0k_ev_per_atom": 0.54}

***

No. 16
{"formula": "AsPdPtSe2", "functional": "PBEsol", "state": "relaxed", "lattice_angstrom": [[4.8232, 0.0000, 0.0000], [0.0000, 4.8232, 0.0000], [0.0000, 0.0000, 4.6237]], "species": ["As", "Pd", "Pt", "Se", "Se"], "fractional_positions": [[0.0000, 0.0000, 0.0000], [0.0000, 0.0000, 0.5000], [0.5000, 0.5000, 0.0000], [0.0000, 0.5000, 0.5000], [0.5000, 0.0000, 0.5000]], "crystal_system": "tetragonal", "e_form_raw_mev_per_atom": 876}

***

No. 17
{"formula": "YAsPd2Pt", "functional": "PBEsol", "state": "relaxed", "lattice_angstrom": [[4.6190, 0.0000, 0.0000], [0.0000, 4.6190, 0.0000], [0.0000, 0.0000, 4.6697]], "species": ["Y", "As", "Pd", "Pd", "Pt"], "fractional_positions": [[0.0000, 0.0000, 0.0000], [0.5000, 0.5000, 0.5000], [0.0000, 0.5000, 0.5000], [0.5000, 0.0000, 0.5000], [0.5000, 0.5000, 0.0000]], "crystal_system": "tetragonal", "formation_enthalpy_0k_ev_per_atom": -0.43}

***

No. 18
{"formula": "RbAs2PdSe", "functional": "PBEsol", "state": "relaxed", "lattice_angstrom": [[4.8389, 0.0000, 0.0000], [0.0000, 4.8389, 0.0000], [0.0000, 0.0000, 5.3816]], "species": ["Rb", "As", "As", "Pd", "Se"], "fractional_positions": [[0.0000, 0.0000, 0.0000], [0.0000, 0.5000, 0.5000], [0.5000, 0.0000, 0.5000], [0.5000, 0.5000, 0.5000], [0.5000, 0.5000, 0.0000]], "crystal_system": "tetragonal", "e_form_raw_mev_per_atom": 50}

***

No. 19
{"formula": "ReAs2Pd", "functional": "PBEsol", "state": "relaxed", "lattice_angstrom": [[6.2332, 0.0000, 0.0000], [0.0000, 6.2332, 0.0000], [0.0000, 0.0000, 6.2332]], "species": ["Re", "Re", "Re", "Re", "As", "As", "As", "As", "As", "As", "As", "As", "Pd", "Pd", "Pd", "Pd"], "fractional_positions": [[0.0000, 0.0000, 0.0000], [0.0000, 0.5000, 0.5000], [0.5000, 0.0000, 0.5000], [0.5000, 0.5000, 0.0000], [0.2500, 0.2500, 0.2500], [0.2500, 0.2500, 0.7500], [0.2500, 0.7500, 0.2500], [0.2500, 0.7500, 0.7500], [0.7500, 0.2500, 0.2500], [0.7500, 0.2500, 0.7500], [0.7500, 0.7500, 0.2500], [0.7500, 0.7500, 0.7500], [0.0000, 0.0000, 0.5000], [0.0000, 0.5000, 0.0000], [0.5000, 0.0000, 0.0000], [0.5000, 0.5000, 0.5000]], "crystal_system": "cubic", "formation_enthalpy_0k_ev_per_atom": 0.23}

***

No. 20
{"formula": "ReAsPd3", "functional": "PBEsol", "state": "relaxed", "lattice_angstrom": [[4.5311, 0.0000, 0.0000], [0.0000, 4.5311, 0.0000], [0.0000, 0.0000, 4.5311]], "species": ["Re", "As", "Pd", "Pd", "Pd"], "fractional_positions": [[0.0000, 0.0000, 0.0000], [0.5000, 0.5000, 0.5000], [0.0000, 0.5000, 0.5000], [0.5000, 0.0000, 0.5000], [0.5000, 0.5000, 0.0000]], "crystal_system": "cubic", "formation_enthalpy_0k_ev_per_atom": 1.06}

***

No. 21
{"formula": "As2PdRhSe", "functional": "PBEsol", "state": "relaxed", "lattice_angstrom": [[4.6543, 0.0000, 0.0000], [0.0000, 4.6543, 0.0000], [0.0000, 0.0000, 4.8724]], "species": ["As", "As", "Pd", "Rh", "Se"], "fractional_positions": [[0.0000, 0.5000, 0.0000], [0.5000, 0.0000, 0.0000], [0.0000, 0.0000, 0.0000], [0.5000, 0.5000, 0.5000], [0.0000, 0.0000, 0.5000]], "crystal_system": "tetragonal", "e_form_raw_mev_per_atom": 894}

***

No. 22
{"formula": "Ti2AsPdRh", "functional": "PBEsol", "state": "relaxed", "lattice_angstrom": [[4.5905, 0.0000, 0.0000], [0.0000, 4.5905, 0.0000], [0.0000, 0.0000, 4.4172]], "species": ["Ti", "Ti", "As", "Pd", "Rh"], "fractional_positions": [[0.0000, 0.5000, 0.0000], [0.5000, 0.0000, 0.0000], [0.0000, 0.0000, 0.0000], [0.0000, 0.0000, 0.5000], [0.5000, 0.5000, 0.5000]], "crystal_system": "tetragonal", "formation_enthalpy_0k_ev_per_atom": 0.37}

***

No. 23
{"formula": "As2PdRu", "functional": "PBEsol", "state": "relaxed", "lattice_angstrom": [[6.1965, 0.0000, 0.0000], [0.0000, 6.1965, 0.0000], [0.0000, 0.0000, 6.1965]], "species": ["As", "As", "As", "As", "As", "As", "As", "As", "Pd", "Pd", "Pd", "Pd", "Ru", "Ru", "Ru", "Ru"], "fractional_positions": [[0.2500, 0.2500, 0.2500], [0.2500, 0.2500, 0.7500], [0.2500, 0.7500, 0.2500], [0.2500, 0.7500, 0.7500], [0.7500, 0.2500, 0.2500], [0.7500, 0.2500, 0.7500], [0.7500, 0.7500, 0.2500], [0.7500, 0.7500, 0.7500], [0.0000, 0.0000, 0.0000], [0.0000, 0.5000, 0.5000], [0.5000, 0.0000, 0.5000], [0.5000, 0.5000, 0.0000], [0.0000, 0.0000, 0.5000], [0.0000, 0.5000, 0.0000], [0.5000, 0.0000, 0.0000], [0.5000, 0.5000, 0.5000]], "crystal_system": "cubic", "formation_enthalpy_0k_ev_per_atom": 0.01}

***

No. 24
{"formula": "As3PdRu", "functional": "PBEsol", "state": "relaxed", "lattice_angstrom": [[4.6733, 0.0000, 0.0000], [0.0000, 4.6733, 0.0000], [0.0000, 0.0000, 4.6733]], "species": ["As", "As", "As", "Pd", "Ru"], "fractional_positions": [[0.0000, 0.0000, 0.5000], [0.0000, 0.5000, 0.0000], [0.5000, 0.0000, 0.0000], [0.0000, 0.0000, 0.0000], [0.5000, 0.5000, 0.5000]], "crystal_system": "cubic", "formation_enthalpy_0k_ev_per_atom": 1.13}

***

No. 25
{"formula": "AsPdS", "functional": "PBEsol", "state": "relaxed", "lattice_angstrom": [[5.9210, 0.0000, 0.0000], [0.0000, 5.9210, 0.0000], [0.0000, 0.0000, 5.9210]], "species": ["As", "As", "As", "As", "Pd", "Pd", "Pd", "Pd", "S", "S", "S", "S"], "fractional_positions": [[0.1156, 0.1156, 0.1156], [0.3844, 0.8844, 0.6156], [0.6156, 0.3844, 0.8844], [0.8844, 0.6156, 0.3844], [0.0027, 0.5027, 0.9973], [0.4973, 0.4973, 0.4973], [0.5027, 0.9973, 0.0027], [0.9973, 0.0027, 0.5027], [0.1081, 0.3919, 0.6081], [0.3919, 0.6081, 0.1081], [0.6081, 0.1081, 0.3919], [0.8919, 0.8919, 0.8919]], "crystal_system": "cubic", "e_form_raw_mev_per_atom": -421}

***

No. 26
{"formula": "TaAsPd2S", "functional": "PBEsol", "state": "relaxed", "lattice_angstrom": [[4.8874, 0.0000, 0.0000], [0.0000, 4.8874, 0.0000], [0.0000, 0.0000, 4.4961]], "species": ["Ta", "As", "Pd", "Pd", "S"], "fractional_positions": [[0.0000, 0.0000, 0.0000], [0.5000, 0.5000, 0.5000], [0.0000, 0.5000, 0.0000], [0.5000, 0.0000, 0.0000], [0.0000, 0.0000, 0.5000]], "crystal_system": "tetragonal", "e_form_raw_mev_per_atom": 715}